w | Entry from Alexandria via LeMat-Bulk: an optimized crystal structure of CaBiF3 (PBE-GGA).

Geometry as CIF:
```
data_CaBiF3
_symmetry_space_group_name_H-M 'P m -3 m'
_symmetry_Int_Tables_number 221
_symmetry_space_group_name_Hall '-P 4 2 3'
_cell_length_a 4.4819
_cell_length_b 4.4819
_cell_length_c 4.4819
_cell_angle_alpha 90.00
_cell_angle_beta 90.00
_cell_angle_gamma 90.00
loop_
_atom_site_label
_atom_site_type_symbol
_atom_site_fract_x
_atom_site_fract_y
_atom_site_fract_z
_atom_site_occupancy
Ca1 Ca 0.0000 0.0000 0.0000 1
Bi1 Bi 0.5000 0.5000 0.5000 1
F1 F 0.0000 0.0000 0.5000 1
```

=====

x | Entry from Alexandria via LeMat-Bulk: an optimized crystal structure of CaBiF3 (PBE-GGA).

Geometry as CIF:
```
data_CaBiF3
_symmetry_space_group_name_H-M 'P m -3 m'
_symmetry_Int_Tables_number 221
_symmetry_space_group_name_Hall '-P 4 2 3'
_cell_length_a 4.8039
_cell_length_b 4.8039
_cell_length_c 4.8039
_cell_angle_alpha 90.00
_cell_angle_beta 90.00
_cell_angle_gamma 90.00
loop_
_atom_site_label
_atom_site_type_symbol
_atom_site_fract_x
_atom_site_fract_y
_atom_site_fract_z
_atom_site_occupancy
Ca1 Ca 0.0000 0.0000 0.0000 1
Bi1 Bi 0.5000 0.5000 0.5000 1
F1 F 0.0000 0.5000 0.5000 1
```

=====

Most stable structure, least stable structure: w, x.

=====

w | Entry from Alexandria via LeMat-Bulk: an optimized crystal structure of CaBi3F (PBE-GGA).

Geometry as CIF:
```
data_CaBi3F
_symmetry_space_group_name_H-M 'P m -3 m'
_symmetry_Int_Tables_number 221
_symmetry_space_group_name_Hall '-P 4 2 3'
_cell_length_a 5.1536
_cell_length_b 5.1536
_cell_length_c 5.1536
_cell_angle_alpha 90.00
_cell_angle_beta 90.00
_cell_angle_gamma 90.00
loop_
_atom_site_label
_atom_site_type_symbol
_atom_site_fract_x
_atom_site_fract_y
_atom_site_fract_z
_atom_site_occupancy
Ca1 Ca 0.0000 0.0000 0.0000 1
Bi1 Bi 0.0000 0.5000 0.5000 1
F1 F 0.5000 0.5000 0.5000 1
```

=====

x | Entry from Alexandria via LeMat-Bulk: an optimized crystal structure of CaBi3F (PBE-GGA).

Geometry as CIF:
```
data_CaBi3F
_symmetry_space_group_name_H-M 'P m -3 m'
_symmetry_Int_Tables_number 221
_symmetry_space_group_name_Hall '-P 4 2 3'
_cell_length_a 5.8132
_cell_length_b 5.8132
_cell_length_c 5.8132
_cell_angle_alpha 90.00
_cell_angle_beta 90.00
_cell_angle_gamma 90.00
loop_
_atom_site_label
_atom_site_type_symbol
_atom_site_fract_x
_atom_site_fract_y
_atom_site_fract_z
_atom_site_occupancy
Ca1 Ca 0.0000 0.0000 0.0000 1
Bi1 Bi 0.0000 0.0000 0.5000 1
F1 F 0.5000 0.5000 0.5000 1
```

=====

Most stable structure, least stable structure: w, x.

=====

w | Entry from Alexandria via LeMat-Bulk: an optimized crystal structure of CaBiN2F (PBE-GGA).

Geometry as CIF:
```
data_CaBiN2F
_symmetry_space_group_name_H-M 'P 4/m m m'
_symmetry_Int_Tables_number 123
_symmetry_space_group_name_Hall '-P 4 2'
_cell_length_a 4.3452
_cell_length_b 4.3452
_cell_length_c 4.4565
_cell_angle_alpha 90.00
_cell_angle_beta 90.00
_cell_angle_gamma 90.00
loop_
_atom_site_label
_atom_site_type_symbol
_atom_site_fract_x
_atom_site_fract_y
_atom_site_fract_z
_atom_site_occupancy
Ca1 Ca 0.0000 0.0000 0.0000 1
Bi1 Bi 0.5000 0.5000 0.5000 1
N1 N 0.0000 0.5000 0.5000 1
F1 F 0.5000 0.5000 0.0000 1
```

=====

x | Entry from Alexandria via LeMat-Bulk: an optimized crystal structure of CaBiN2F (PBE-GGA).

Geometry as CIF:
```
data_CaBiN2F
_symmetry_space_group_name_H-M 'P 4/m m m'
_symmetry_Int_Tables_number 123
_symmetry_space_group_name_Hall '-P 4 2'
_cell_length_a 4.5461
_cell_length_b 4.5461
_cell_length_c 4.1197
_cell_angle_alpha 90.00
_cell_angle_beta 90.00
_cell_angle_gamma 90.00
loop_
_atom_site_label
_atom_site_type_symbol
_atom_site_fract_x
_atom_site_fract_y
_atom_site_fract_z
_atom_site_occupancy
Ca1 Ca 0.0000 0.0000 0.0000 1
Bi1 Bi 0.5000 0.5000 0.5000 1
N1 N 0.0000 0.5000 0.0000 1
F1 F 0.0000 0.0000 0.5000 1
```

=====

Most stable structure, least stable structure: w, x.

=====

w | Entry from Alexandria via LeMat-Bulk: an optimized crystal structure of CaBiOF2 (PBE-GGA).

Geometry as CIF:
```
data_CaBiOF2
_symmetry_space_group_name_H-M 'P 4/m m m'
_symmetry_Int_Tables_number 123
_symmetry_space_group_name_Hall '-P 4 2'
_cell_length_a 4.7210
_cell_length_b 4.7210
_cell_length_c 4.5276
_cell_angle_alpha 90.00
_cell_angle_beta 90.00
_cell_angle_gamma 90.00
loop_
_atom_site_label
_atom_site_type_symbol
_atom_site_fract_x
_atom_site_fract_y
_atom_site_fract_z
_atom_site_occupancy
Ca1 Ca 0.0000 0.0000 0.0000 1
Bi1 Bi 0.5000 0.5000 0.5000 1
O1 O 0.5000 0.5000 0.0000 1
F1 F 0.0000 0.5000 0.5000 1
```

=====

x | Entry from Alexandria via LeMat-Bulk: an optimized crystal structure of CaBiOF2 (PBE-GGA).

Geometry as CIF:
```
data_CaBiOF2
_symmetry_space_group_name_H-M 'P 4/m m m'
_symmetry_Int_Tables_number 123
_symmetry_space_group_name_Hall '-P 4 2'
_cell_length_a 4.2591
_cell_length_b 4.2591
_cell_length_c 4.6621
_cell_angle_alpha 90.00
_cell_angle_beta 90.00
_cell_angle_gamma 90.00
loop_
_atom_site_label
_atom_site_type_symbol
_atom_site_fract_x
_atom_site_fract_y
_atom_site_fract_z
_atom_site_occupancy
Ca1 Ca 0.0000 0.0000 0.0000 1
Bi1 Bi 0.5000 0.5000 0.5000 1
O1 O 0.0000 0.0000 0.5000 1
F1 F 0.0000 0.5000 0.0000 1
```

=====

Most stable structure, least stable structure: x, w.